A | Material: Li2YGa6
Method: DFT, PBE-GGA
State: optimized geometry

Unit cell a=3.5730 b=7.3993 c=7.5658 alpha=119.27 beta=103.66 gamma=90.00
Fractional positions:
Ga1 0.6847 0.8643 0.3694
Ga2 0.6847 0.5051 0.3694
Ga3 0.5000 0.8301 0.0000
Ga4 0.3153 0.1357 0.6306
Ga5 0.3153 0.4949 0.6306
Ga6 0.5000 0.1699 0.0000
Li1 0.1276 0.1276 0.2552
Li2 0.8724 0.8724 0.7448
Y1 0.0000 0.5000 0.0000

Values from the calculation:
Its space group is No. 71.

***

B | Material: Li2YGa6
Method: DFT, PBE-GGA
State: optimized geometry

Unit cell a=3.4225 b=7.6188 c=7.6188 alpha=120.00 beta=90.00 gamma=90.00
Fractional positions:
Ga1 0.5000 0.3377 0.3377
Ga2 0.5000 0.0000 0.3377
Ga3 0.5000 0.6623 0.0000
Ga4 0.5000 0.0000 0.6623
Ga5 0.5000 0.6623 0.6623
Ga6 0.5000 0.3377 0.0000
Y1 0.0000 0.0000 0.0000
Li1 0.0000 0.6667 0.3333
Li2 0.0000 0.3333 0.6667

Values from the calculation:
Its space group is No. 191.

***

It is B that is most stable; the runner-up trails by 2.3 kJ/mol of atoms.

***

A | Material: LiY3Ga
Method: DFT, PBE-GGA
State: optimized geometry

Unit cell a=5.5494 b=5.5494 c=5.5494 alpha=90.00 beta=90.00 gamma=90.00
Fractional positions:
Ga1 0.0000 0.0000 0.0000
Y1 0.5000 0.0000 0.0000
Y2 0.0000 0.5000 0.0000
Y3 0.0000 0.0000 0.5000
Li1 0.5000 0.5000 0.5000

Values from the calculation:
Its space group is No. 221.

***

B | Material: LiY3Ga
Method: DFT, PBE-GGA
State: optimized geometry

Unit cell a=5.0403 b=5.0385 c=10.4008 alpha=90.00 beta=75.98 gamma=90.00
Fractional positions:
Y1 0.0728 0.7500 0.5028
Y2 0.3919 0.2500 0.8645
Y3 0.7603 0.2500 0.1278
Y4 0.8881 0.7500 0.8722
Y5 0.2564 0.7500 0.1355
Y6 0.5756 0.2500 0.4972
Li1 0.6652 0.7500 0.3179
Li2 0.9831 0.2500 0.6821
Ga1 0.4857 0.7500 0.6769
Ga2 0.1626 0.2500 0.3231

Values from the calculation:
Its space group is No. 63.

***

It is B that is most stable; the runner-up trails by 39.5 kJ/mol of atoms.

***

A | Material: Li4Y3Ga4
Method: DFT, PBE-GGA
State: optimized geometry

Unit cell a=3.4481 b=4.5856 c=14.5204 alpha=80.96 beta=83.13 gamma=90.00
Fractional positions:
Ga1 0.6818 0.1822 0.6351
Ga2 0.3182 0.8178 0.3649
Ga3 0.4526 0.4526 0.0947
Ga4 0.5475 0.5474 0.9053
Li1 0.7424 0.7423 0.5155
Li2 0.5921 0.0917 0.8162
Li3 0.4079 0.9083 0.1838
Li4 0.2576 0.2578 0.4845
Y1 0.1421 0.6420 0.7151
Y2 0.0000 0.0000 0.0000
Y3 0.8580 0.3580 0.2849

Values from the calculation:
Its space group is No. 2.

***

B | Material: Li4Y3Ga4
Method: DFT, PBE-GGA
State: optimized geometry

Unit cell a=4.5105 b=6.7599 c=8.3233 alpha=113.96 beta=105.72 gamma=90.00
Fractional positions:
Y1 0.0000 0.5000 0.0000
Y2 0.1231 0.1231 0.2461
Y3 0.8769 0.8769 0.7539
Ga1 0.2145 0.7145 0.4290
Ga2 0.5000 0.8088 0.0000
Ga3 0.5000 0.1912 0.0000
Ga4 0.7855 0.2855 0.5710
Li1 0.3281 0.5185 0.6561
Li2 0.3281 0.1377 0.6561
Li3 0.6719 0.8623 0.3439
Li4 0.6719 0.4815 0.3439

Values from the calculation:
Its space group is No. 71.

***

It is A that is most stable; the runner-up trails by 0.8 kJ/mol of atoms.

***

A | Material: Li3Zn2Ga5
Method: DFT, PBE-GGA
State: optimized geometry

Unit cell a=5.6478 b=8.6067 c=8.6067 alpha=88.32 beta=70.85 gamma=70.85
Fractional positions:
Li1 0.2500 0.0000 0.0000
Li2 0.6203 0.6449 0.1145
Li3 0.8797 0.8855 0.3551
Li4 0.3797 0.3551 0.8855
Li5 0.1203 0.1145 0.6449
Li6 0.7500 0.0000 0.0000
Ga1 0.1283 0.5159 0.2275
Ga2 0.5133 0.2367 0.2367
Ga3 0.0133 0.2367 0.2367
Ga4 0.7500 0.5000 0.5000
Ga5 0.3717 0.7725 0.4841
Ga6 0.2500 0.5000 0.5000
Ga7 0.6283 0.2275 0.5159
Ga8 0.8717 0.4841 0.7725
Ga9 0.9867 0.7633 0.7633
Ga10 0.4867 0.7633 0.7633
Zn1 0.8687 0.2834 0.9792
Zn2 0.1313 0.7166 0.0208
Zn3 0.3687 0.9792 0.2834
Zn4 0.6313 0.0208 0.7166

Values from the calculation:
Its space group is No. 72.

***

B | Material: Li3Zn2Ga5
Method: DFT, PBE-GGA
State: optimized geometry

Unit cell a=8.8087 b=8.0893 c=7.9029 alpha=120.78 beta=123.87 gamma=90.00
Fractional positions:
Ga1 0.7500 0.5000 0.0000
Ga2 0.1267 0.4923 0.2534
Ga3 0.3733 0.2389 0.7466
Ga4 0.8733 0.5077 0.7466
Ga5 0.0006 0.7506 0.5011
Ga6 0.4994 0.2494 0.4989
Ga7 0.6267 0.7611 0.2534
Ga8 0.5006 0.7506 0.5011
Ga9 0.2500 0.5000 0.0000
Ga10 0.9994 0.2494 0.4989
Zn1 0.1246 0.1782 0.2492
Zn2 0.6246 0.0710 0.2492
Zn3 0.3754 0.9290 0.7508
Zn4 0.8754 0.8219 0.7508
Li1 0.1288 0.8473 0.2576
Li2 0.2500 0.0000 0.0000
Li3 0.7500 0.0000 0.0000
Li4 0.8712 0.1527 0.7424
Li5 0.6288 0.4103 0.2576
Li6 0.3712 0.5897 0.7424

Values from the calculation:
Its space group is No. 72.

***

It is A that is most stable; the runner-up trails by 0.8 kJ/mol of atoms.